--- w ---
Compound: TbPm3Nd
Source: Alexandria
Functional: PBE
Structure: relaxed

abc: 3.637 10.298 9.622
angles: 74.50 100.89 90.00
Element x y z (fractional)
Nd1 0.399 0.552 0.799
Pm1 0.799 0.348 0.599
Pm2 0.000 0.249 0.000
Nd2 0.601 0.448 0.201
Pm3 0.399 0.049 0.798
Pm4 0.201 0.652 0.401
Pm5 0.601 0.951 0.202
Tb1 0.799 0.852 0.599
Pm6 0.000 0.751 0.000
Tb2 0.201 0.148 0.401

Summary:
Spin magnetization: 0.00 μB/cell

=====

--- x ---
Compound: TbPm3Nd
Source: Alexandria
Functional: PBE
Structure: relaxed

abc: 6.627 11.838 6.606
angles: 124.17 120.05 89.65
Element x y z (fractional)
Nd1 0.000 0.000 0.000
Pm1 0.692 0.542 0.390
Tb1 0.544 0.186 0.247
Tb2 0.456 0.814 0.753
Pm2 0.131 0.187 0.669
Pm3 0.709 0.188 0.835
Pm4 0.308 0.458 0.610
Pm5 0.869 0.813 0.331
Pm6 0.291 0.812 0.165
Nd2 0.000 0.500 0.000

Summary:
Spin magnetization: 0.00 μB/cell

=====

w has the most favorable energy; the next structure is 142 meV/atom above.